DFT (PBE) results for an optimized crystal structure of PrBiBr.

Unit cell a=4.0294 b=8.6704 c=7.1264 alpha=127.47 beta=90.00 gamma=90.00
Fractional coordinates of all 6 atoms:
Pr 0.3702 0.0631 0.2444
Pr 0.3702 0.6287 0.3760
Bi 0.3702 0.1900 0.8102
Bi 0.8702 0.9097 0.8102
Br 0.8702 0.7397 0.1511
Br 0.8702 0.3988 0.4695

- uncorrected energy (eV per cell) = -26.821
- ΔE to the lowest computed polymorph (meV per atom) = 0
- symmetry = Amm2, No. 38



DFT (PBE) results for an optimized crystal structure of Pr2BiBr.

Unit cell a=4.4465 b=4.4465 c=9.9379 alpha=77.07 beta=77.07 gamma=60.00
Fractional coordinates of all 4 atoms:
Pr 0.1010 0.1010 0.6971
Pr 0.8990 0.8990 0.3029
Bi 0.5000 0.5000 0.5000
Br 0.0000 0.0000 0.0000

- uncorrected energy (eV per cell) = -18.603
- ΔE to the lowest computed polymorph (meV per atom) = 193
- symmetry = R-3m, No. 166



DFT (PBE) results for an optimized crystal structure of Pr5Bi4Br.

Unit cell a=4.6322 b=6.5013 c=12.1146 alpha=105.56 beta=101.02 gamma=90.00
Fractional coordinates of all 10 atoms:
Pr 0.6028 0.1028 0.2055
Pr 0.8001 0.3001 0.6001
Pr 0.1999 0.6999 0.3999
Pr 0.0000 0.5000 0.0000
Pr 0.3972 0.8972 0.7945
Bi 0.4011 0.4011 0.8022
Bi 0.8012 0.8012 0.6024
Bi 0.1988 0.1988 0.3976
Bi 0.5989 0.5989 0.1978
Br 0.0000 0.0000 0.0000

- uncorrected energy (eV per cell) = -51.119
- symmetry = Immm, No. 71



DFT (PBE) results for an optimized crystal structure of Pr2BiBr2.

Unit cell a=4.4706 b=4.4706 c=11.1775 alpha=78.46 beta=78.46 gamma=60.00
Fractional coordinates of all 5 atoms:
Pr 0.6093 0.6093 0.1721
Pr 0.3907 0.3907 0.8279
Bi 0.0000 0.0000 0.0000
Br 0.2228 0.2228 0.3316
Br 0.7772 0.7772 0.6684

- uncorrected energy (eV per cell) = -23.816
- symmetry = R-3m, No. 166



DFT (PBE) results for an optimized crystal structure of PrPuBiBr.

Unit cell a=5.4950 b=5.4950 c=5.4950 alpha=60.00 beta=60.00 gamma=60.00
Site moments in Bohr magnetons follow the coordinates.
Fractional coordinates of all 4 atoms:
Pr 0.0000 0.0000 0.0000  0.41
Bi 0.2500 0.2500 0.2500  -0.09
Br 0.7500 0.7500 0.7500  -0.03
Pu 0.5000 0.5000 0.5000  5.75

- uncorrected energy (eV per cell) = -27.802
- symmetry = F-43m, No. 216



DFT (PBE) results for an optimized crystal structure of Pr3BiSbBr.

Unit cell a=4.6036 b=8.9768 c=10.1212 alpha=102.34 beta=90.00 gamma=90.00
Site moments in Bohr magnetons follow the coordinates.
Fractional coordinates of all 12 atoms:
Pr 0.2500 0.7221 0.4968  0.21
Pr 0.7500 0.9003 0.1244  -0.01
Pr 0.7500 0.4154 0.1539  0.05
Pr 0.7500 0.2779 0.5032  0.21
Pr 0.2500 0.5846 0.8461  0.05
Pr 0.2500 0.0997 0.8756  -0.01
Bi 0.7500 0.8203 0.7754  0.00
Bi 0.2500 0.1797 0.2246  0.00
Sb 0.2500 0.6609 0.1622  0.00
Sb 0.7500 0.3391 0.8378  0.00
Br 0.2500 0.1049 0.5838  0.01
Br 0.7500 0.8951 0.4162  0.01

- uncorrected energy (eV per cell) = -59.911
- symmetry = P2_1/m, No. 11



DFT (PBE) results for an optimized crystal structure of Pr6Si2BiBr3.

Unit cell a=4.3913 b=8.9303 c=9.9538 alpha=103.00 beta=102.74 gamma=90.00
Fractional coordinates of all 12 atoms:
Pr 0.3287 0.8705 0.6574
Pr 0.6747 0.5684 0.3493
Pr 0.6713 0.1295 0.3426
Pr 0.0194 0.2643 0.0387
Pr 0.9806 0.7357 0.9613
Pr 0.3253 0.4316 0.6507
Si 0.8298 0.6568 0.6595
Si 0.1702 0.3432 0.3405
Bi 0.5000 0.0000 0.0000
Br 0.5000 0.5000 0.0000
Br 0.8356 0.1616 0.6711
Br 0.1644 0.8384 0.3289

- uncorrected energy (eV per cell) = -61.461
- symmetry = C2/m, No. 12



DFT (PBE) results for an optimized crystal structure of PrSmBiBr.

Unit cell a=5.4729 b=5.4729 c=5.4729 alpha=60.00 beta=60.00 gamma=60.00
Fractional coordinates of all 4 atoms:
Pr 0.0000 0.0000 0.0000
Br 0.2500 0.2500 0.2500
Bi 0.7500 0.7500 0.7500
Sm 0.5000 0.5000 0.5000

- uncorrected energy (eV per cell) = -18.926
- symmetry = F-43m, No. 216



DFT (PBE) results for an optimized crystal structure of BiPtBr2.

Unit cell a=9.8572 b=9.8572 c=9.8572 alpha=20.81 beta=20.81 gamma=20.81
Fractional coordinates of all 4 atoms:
Br 0.9166 0.9166 0.9166
Br 0.0834 0.0834 0.0834
Bi 0.5000 0.5000 0.5000
Pt 0.0000 0.0000 0.0000

- uncorrected energy (eV per cell) = -12.509
- ΔE to the lowest computed polymorph (meV per atom) = 118
- symmetry = R-3m, No. 166



DFT (PBE) results for an optimized crystal structure of BiPt3Br.

Unit cell a=5.1622 b=5.1622 c=5.1622 alpha=90.00 beta=90.00 gamma=90.00
Fractional coordinates of all 5 atoms:
Br 0.5000 0.5000 0.5000
Bi 0.0000 0.0000 0.0000
Pt 0.0000 0.5000 0.0000
Pt 0.0000 0.0000 0.5000
Pt 0.5000 0.0000 0.0000

- uncorrected energy (eV per cell) = -17.688
- ΔE to the lowest computed polymorph (meV per atom) = 300
- symmetry = Pm-3m, No. 221



DFT (PBE) results for an optimized crystal structure of BiPt2Br.

Unit cell a=6.8386 b=6.8386 c=6.5214 alpha=58.38 beta=58.38 gamma=90.00
Fractional coordinates of all 8 atoms:
Br 0.5000 0.5000 0.0000
Br 0.2500 0.7500 0.5000
Bi 0.0000 0.0000 0.0000
Bi 0.7500 0.2500 0.5000
Pt 0.6218 0.1250 0.2500
Pt 0.1282 0.6250 0.2500
Pt 0.3750 0.3782 0.7500
Pt 0.8750 0.8718 0.7500

- uncorrected energy (eV per cell) = -33.076
- ΔE to the lowest computed polymorph (meV per atom) = 0
- symmetry = I-42d, No. 122



DFT (PBE) results for an optimized crystal structure of BiPt2Br.

Unit cell a=4.8783 b=4.8783 c=4.8783 alpha=60.00 beta=60.00 gamma=60.00
Fractional coordinates of all 4 atoms:
Br 0.0000 0.0000 0.0000
Bi 0.5000 0.5000 0.5000
Pt 0.2500 0.2500 0.2500
Pt 0.7500 0.7500 0.7500

- uncorrected energy (eV per cell) = -16.331
- ΔE to the lowest computed polymorph (meV per atom) = 52
- symmetry = Fm-3m, No. 225



DFT (PBE) results for an optimized crystal structure of Bi2PtBr.

Unit cell a=4.2810 b=4.2810 c=7.8891 alpha=74.26 beta=74.26 gamma=60.00
Fractional coordinates of all 4 atoms:
Bi 0.0595 0.0595 0.8216
Bi 0.2754 0.2754 0.1738
Pt 0.6672 0.6672 0.9983
Br 0.4979 0.4979 0.5063

- uncorrected energy (eV per cell) = -16.885
- ΔE to the lowest computed polymorph (meV per atom) = 22
- symmetry = R3m, No. 160



DFT (PBE) results for an optimized crystal structure of BiPtBr2.

Unit cell a=10.5926 b=10.5926 c=7.9396 alpha=48.16 beta=48.16 gamma=90.00
Fractional coordinates of all 8 atoms:
Br 0.3751 0.1250 0.2500
Br 0.3749 0.6250 0.2500
Br 0.3750 0.6249 0.7500
Br 0.8750 0.6251 0.7500
Bi 0.0000 0.0000 0.0000
Bi 0.7500 0.2500 0.5000
Pt 0.5000 0.5000 0.0000
Pt 0.2500 0.7500 0.5000

- uncorrected energy (eV per cell) = -25.961
- ΔE to the lowest computed polymorph (meV per atom) = 0
- symmetry = I4_1/amd, No. 141



DFT (PBE) results for an optimized crystal structure of BiPt3Br.

Unit cell a=4.8456 b=4.8456 c=4.8456 alpha=90.00 beta=90.00 gamma=90.00
Fractional coordinates of all 5 atoms:
Br 0.0000 0.0000 0.0000
Bi 0.5000 0.5000 0.5000
Pt 0.0000 0.5000 0.0000
Pt 0.0000 0.0000 0.5000
Pt 0.5000 0.0000 0.0000

- uncorrected energy (eV per cell) = -19.186
- ΔE to the lowest computed polymorph (meV per atom) = 0
- symmetry = Pm-3m, No. 221



DFT (PBE) results for an optimized crystal structure of Bi2PtBr.

Unit cell a=4.3606 b=7.5751 c=8.6617 alpha=82.47 beta=75.19 gamma=89.99
Fractional coordinates of all 8 atoms:
Bi 0.6131 0.3608 0.1517
Bi 0.9614 0.4811 0.4523
Bi 0.4617 0.9811 0.4522
Bi 0.1135 0.8608 0.1517
Pt 0.0375 0.1710 0.3020
Pt 0.5375 0.6710 0.3020
Br 0.2906 0.9202 0.8019
Br 0.7842 0.4203 0.8020

- uncorrected energy (eV per cell) = -33.751
- ΔE to the lowest computed polymorph (meV per atom) = 24
- symmetry = P1, No. 1



DFT (PBE) results for an optimized crystal structure of BiPtBr2.

Unit cell a=5.1101 b=5.1101 c=5.1101 alpha=60.00 beta=60.00 gamma=60.00
Fractional coordinates of all 4 atoms:
Br 0.2500 0.2500 0.2500
Br 0.7500 0.7500 0.7500
Bi 0.5000 0.5000 0.5000
Pt 0.0000 0.0000 0.0000

- uncorrected energy (eV per cell) = -11.678
- ΔE to the lowest computed polymorph (meV per atom) = 326
- symmetry = Fm-3m, No. 225



DFT (PBE) results for an optimized crystal structure of Bi2PtBr.

Unit cell a=5.1453 b=5.1453 c=5.1453 alpha=60.00 beta=60.00 gamma=60.00
Fractional coordinates of all 4 atoms:
Br 0.0000 0.0000 0.0000
Bi 0.2500 0.2500 0.2500
Bi 0.7500 0.7500 0.7500
Pt 0.5000 0.5000 0.5000

- uncorrected energy (eV per cell) = -15.196
- ΔE to the lowest computed polymorph (meV per atom) = 444
- symmetry = Fm-3m, No. 225



DFT (PBE) results for an optimized crystal structure of BiPtBr3.

Unit cell a=5.1610 b=5.1610 c=5.1610 alpha=90.00 beta=90.00 gamma=90.00
Fractional coordinates of all 5 atoms:
Br 0.0000 0.5000 0.0000
Br 0.0000 0.0000 0.5000
Br 0.5000 0.0000 0.0000
Bi 0.5000 0.5000 0.5000
Pt 0.0000 0.0000 0.0000

- uncorrected energy (eV per cell) = -14.352
- ΔE to the lowest computed polymorph (meV per atom) = 0
- symmetry = Pm-3m, No. 221



DFT (PBE) results for an optimized crystal structure of Bi4PtBr.

Unit cell a=7.2839 b=8.7938 c=8.2157 alpha=122.36 beta=83.71 gamma=90.00
Fractional coordinates of all 12 atoms:
Bi 0.0971 0.6851 0.3702
Bi 0.5303 0.1790 0.7487
Bi 0.0000 0.2950 0.0000
Bi 0.4697 0.4302 0.2513
Bi 0.9029 0.3149 0.6298
Bi 0.4697 0.8210 0.2513
Bi 0.0000 0.7050 0.0000
Bi 0.5303 0.5698 0.7487
Pt 0.3009 0.4926 0.9852
Pt 0.6991 0.5074 0.0148
Br 0.7917 0.8995 0.7991
Br 0.2083 0.1005 0.2009

- uncorrected energy (eV per cell) = -48.579
- symmetry = C2/m, No. 12



DFT (PBE) results for an optimized crystal structure of Bi2PtBr.

Unit cell a=4.2332 b=4.2332 c=7.9092 alpha=74.48 beta=74.48 gamma=60.00
Fractional coordinates of all 4 atoms:
Br 0.5000 0.5000 0.5000
Bi 0.2731 0.2731 0.1807
Bi 0.7269 0.7269 0.8193
Pt 0.0000 0.0000 0.0000

- uncorrected energy (eV per cell) = -16.973
- ΔE to the lowest computed polymorph (meV per atom) = 0
- symmetry = R-3m, No. 166



DFT (PBE) results for an optimized crystal structure of Bi2PtBr.

Unit cell a=7.1021 b=7.1021 c=7.6526 alpha=62.35 beta=62.35 gamma=90.00
Fractional coordinates of all 8 atoms:
Br 0.5000 0.5000 0.0000
Br 0.2500 0.7500 0.5000
Bi 0.6866 0.1250 0.2500
Bi 0.0634 0.6250 0.2500
Bi 0.3750 0.3134 0.7500
Bi 0.8750 0.9366 0.7500
Pt 0.0000 0.0000 0.0000
Pt 0.7500 0.2500 0.5000

- uncorrected energy (eV per cell) = -31.172
- ΔE to the lowest computed polymorph (meV per atom) = 347
- symmetry = I-42d, No. 122



DFT (PBE) results for an optimized crystal structure of ReBiPtBr2.

Unit cell a=5.0324 b=5.3648 c=5.0324 alpha=90.00 beta=90.00 gamma=90.00
Site moments in Bohr magnetons follow the coordinates.
Fractional coordinates of all 5 atoms:
Re 0.0000 0.5000 0.0000  3.15
Br 0.0000 0.0000 0.5000  0.02
Br 0.5000 0.0000 0.0000  0.00
Bi 0.5000 0.5000 0.5000  -0.55
Pt 0.0000 0.0000 0.0000  0.18

- uncorrected energy (eV per cell) = -20.212
- symmetry = P4/mmm, No. 123



DFT (PBE) results for an optimized crystal structure of BiPtSeBr2.

Unit cell a=5.0884 b=5.0884 c=5.0857 alpha=90.00 beta=90.00 gamma=90.00
Fractional coordinates of all 5 atoms:
Br 0.0000 0.5000 0.0000
Br 0.5000 0.0000 0.0000
Se 0.0000 0.0000 0.5000
Bi 0.5000 0.5000 0.5000
Pt 0.0000 0.0000 0.0000

- uncorrected energy (eV per cell) = -16.176
- ΔE to the lowest computed polymorph (meV per atom) = 0
- symmetry = P4/mmm, No. 123



DFT (PBE) results for an optimized crystal structure of BiPtSe2Br.

Unit cell a=5.0228 b=5.0228 c=5.0503 alpha=90.00 beta=90.00 gamma=90.00
Fractional coordinates of all 5 atoms:
Br 0.0000 0.0000 0.5000
Se 0.0000 0.5000 0.0000
Se 0.5000 0.0000 0.0000
Bi 0.5000 0.5000 0.5000
Pt 0.0000 0.0000 0.0000

- uncorrected energy (eV per cell) = -17.872
- ΔE to the lowest computed polymorph (meV per atom) = 0
- symmetry = P4/mmm, No. 123



DFT (PBE) results for an optimized crystal structure of Sn2BiPtBr.

Unit cell a=5.1794 b=5.8200 c=5.1794 alpha=90.00 beta=90.00 gamma=90.00
Fractional coordinates of all 5 atoms:
Br 0.5000 0.5000 0.5000
Bi 0.0000 0.5000 0.0000
Pt 0.0000 0.0000 0.0000
Sn 0.0000 0.0000 0.5000
Sn 0.5000 0.0000 0.0000

- uncorrected energy (eV per cell) = -19.382
- symmetry = P4/mmm, No. 123



DFT (PBE) results for an optimized crystal structure of TlBiPtBr2.

Unit cell a=5.2437 b=5.5431 c=5.2437 alpha=90.00 beta=90.00 gamma=90.00
Fractional coordinates of all 5 atoms:
Tl 0.5000 0.5000 0.5000
Br 0.0000 0.0000 0.5000
Br 0.5000 0.0000 0.0000
Bi 0.0000 0.5000 0.0000
Pt 0.0000 0.0000 0.0000

- uncorrected energy (eV per cell) = -15.836
- symmetry = P4/mmm, No. 123



Formation energy from raw total energies? In order: -1026 -873 -1003 -1406 -784 -990 -1086 -968 190 1198 274 326 -352 72 898 -350 397 70 118 -175 -374 -28 1101 115 138 44 -41 meV/atom.